Material: Sc3TlO
Method: DFT, PBE
State: optimized geometry

Cell and atoms, written as CIF:
```
data_Sc3TlO
_chemical_formula_sum 'Sc12 Tl4 O4'
_symmetry_space_group_name_H-M 'I -4 m 2'
_symmetry_Int_Tables_number 119
_symmetry_space_group_name_Hall 'I -4 -2'
_cell_length_a 6.194
_cell_length_b 6.194
_cell_length_c 11.230
_cell_angle_alpha 90.00
_cell_angle_beta 90.00
_cell_angle_gamma 90.00
loop_
_atom_site_label
_atom_site_type_symbol
_atom_site_fract_x
_atom_site_fract_y
_atom_site_fract_z
_atom_site_occupancy
Sc1 Sc 0.000 0.000 0.128 1
Sc2 Sc 0.000 0.250 0.622 1
Tl1 Tl 0.000 0.500 0.115 1
O1 O 0.000 0.000 0.500 1
O2 O 0.000 0.500 0.750 1
```

Results
Final energy ... -6.2781 eV/atom
Formation energy from raw total energies ... -1.0143 eV per atom
Size of the total moment ... 0.00 μB per formula unit
D(E_F) ... 18.2 states/eV/cell



Material: CaCr2P
Method: DFT, PBE
State: optimized geometry

Cell and atoms, written as CIF:
```
data_CaCr2P
_chemical_formula_sum 'Ca1 Cr2 P1'
_symmetry_space_group_name_H-M 'P 4/m m m'
_symmetry_Int_Tables_number 123
_symmetry_space_group_name_Hall '-P 4 2'
_cell_length_a 4.178
_cell_length_b 4.178
_cell_length_c 4.315
_cell_angle_alpha 90.00
_cell_angle_beta 90.00
_cell_angle_gamma 90.00
loop_
_atom_site_label
_atom_site_type_symbol
_atom_site_fract_x
_atom_site_fract_y
_atom_site_fract_z
_atom_site_occupancy
Ca1 Ca 0.000 0.000 0.000 1
Cr1 Cr 0.000 0.500 0.500 1
P1 P 0.500 0.500 0.000 1
```

Results
Final energy ... -6.3059 eV/atom
Energy of formation from the pure elements ... 359 meV/atom
Size of the total moment ... 8.54 μB per formula unit
D(E_F) ... 2.5 states/eV/cell



Material: Tb4Hg2Ge
Method: DFT, PBE
State: optimized geometry

Cell and atoms, written as CIF:
```
data_Tb4Hg2Ge
_chemical_formula_sum 'Tb8 Hg4 Ge2'
_symmetry_space_group_name_H-M 'C m m m'
_symmetry_Int_Tables_number 65
_symmetry_space_group_name_Hall '-C 2 2'
_cell_length_a 7.159
_cell_length_b 10.490
_cell_length_c 5.169
_cell_angle_alpha 90.00
_cell_angle_beta 90.00
_cell_angle_gamma 90.00
loop_
_atom_site_label
_atom_site_type_symbol
_atom_site_fract_x
_atom_site_fract_y
_atom_site_fract_z
_atom_site_occupancy
Tb1 Tb 0.239 0.000 0.000 1
Tb2 Tb 0.250 0.250 0.500 1
Hg1 Hg 0.000 0.268 0.000 1
Ge1 Ge 0.000 0.000 0.500 1
```

Results
Final energy ... -3.7998 eV/atom
Energy of formation from the pure elements ... -408 meV/atom
Size of the total moment ... 0.00 μB per formula unit
D(E_F) ... 17.6 states/eV/cell



Material: SmSiHg
Method: DFT, PBE
State: optimized geometry

Cell and atoms, written as CIF:
```
data_SmSiHg
_chemical_formula_sum 'Sm1 Si1 Hg1'
_symmetry_space_group_name_H-M 'P 3 m 1'
_symmetry_Int_Tables_number 156
_symmetry_space_group_name_Hall 'P 3 -2"'
_cell_length_a 4.3709
_cell_length_b 4.3709
_cell_length_c 4.2107
_cell_angle_alpha 90.00
_cell_angle_beta 90.00
_cell_angle_gamma 120.00
loop_
_atom_site_label
_atom_site_type_symbol
_atom_site_fract_x
_atom_site_fract_y
_atom_site_fract_z
_atom_site_occupancy
Sm1 Sm 0.0000 0.0000 0.0000 1
Si1 Si 0.3333 0.6667 0.5372 1
Hg1 Hg 0.6667 0.3333 0.4724 1
```

Results
Final energy ... -3.9270 eV/atom
Formation energy from raw total energies ... -0.4457 eV per atom
Size of the total moment ... 0.00 μB per formula unit
D(E_F) ... 1.5 states/eV/cell



Material: AlP2OF
Method: DFT, PBE
State: optimized geometry

Cell and atoms, written as CIF:
```
data_AlP2OF
_chemical_formula_sum 'Al1 P2 O1 F1'
_symmetry_space_group_name_H-M 'P 4/m m m'
_symmetry_Int_Tables_number 123
_symmetry_space_group_name_Hall '-P 4 2'
_cell_length_a 4.781
_cell_length_b 4.781
_cell_length_c 3.450
_cell_angle_alpha 90.00
_cell_angle_beta 90.00
_cell_angle_gamma 90.00
loop_
_atom_site_label
_atom_site_type_symbol
_atom_site_fract_x
_atom_site_fract_y
_atom_site_fract_z
_atom_site_occupancy
Al1 Al 0.000 0.000 0.000 1
P1 P 0.000 0.500 0.000 1
O1 O 0.000 0.000 0.500 1
F1 F 0.500 0.500 0.500 1
```

Results
Final energy ... -4.4314 eV/atom
Formation energy from raw total energies ... -0.1530 eV per atom
Size of the total moment ... 0.00 μB per formula unit
D(E_F) ... 4.5 states/eV/cell



Material: Cs4GaHg2Sb2
Method: DFT, PBE
State: optimized geometry

Cell and atoms, written as CIF:
```
data_Cs4GaHg2Sb2
_chemical_formula_sum 'Cs8 Ga2 Hg4 Sb4'
_symmetry_space_group_name_H-M 'C 1 2/m 1'
_symmetry_Int_Tables_number 12
_symmetry_space_group_name_Hall '-C 2y'
_cell_length_a 15.091
_cell_length_b 9.636
_cell_length_c 6.491
_cell_angle_alpha 90.00
_cell_angle_beta 101.04
_cell_angle_gamma 90.00
loop_
_atom_site_label
_atom_site_type_symbol
_atom_site_fract_x
_atom_site_fract_y
_atom_site_fract_z
_atom_site_occupancy
Cs1 Cs 0.141 0.245 0.211 1
Ga1 Ga 0.000 0.000 0.500 1
Hg1 Hg 0.078 0.500 0.703 1
Sb1 Sb 0.153 0.000 0.725 1
```

Results
Final energy ... -1.9955 eV/atom
Formation energy from raw total energies ... -0.2967 eV per atom
Size of the total moment ... 0.00 μB per formula unit
D(E_F) ... 9.5 states/eV/cell